First-principles (GGA-PBE) data for crystalline BaAg2SnTe3Se at its relaxed geometry, as listed in OQMD via LeMat-Bulk.

Summary:
- E_tot (eV per atom) = -3.644

a = 6.9602 Å, b = 6.9937 Å, c = 7.0463 Å
α = 111.29°, β = 115.14°, γ = 101.60°
Last column: nearest neighbours and their distance in Å.
Fractional coordinates of all 8 atoms:
Ba (0.0000, 0.0000, 0.0000)  2 Se 3.51-3.62, 6 Te 3.57-3.64
Ag (0.1904, 0.6815, 0.5124)  2 Te 2.72
Ag (0.8262, 0.3191, 0.4787)  1 Se 2.62, 1 Te 2.75
Sn (0.5099, 0.4749, 0.9960)  1 Se 2.57, 3 Te 2.78-2.79
Te (0.1104, 0.5088, 0.9740)  1 Ag 2.75, 1 Sn 2.78
Te (0.4777, 0.4678, 0.5849)  1 Ag 2.72, 1 Sn 2.79
Te (0.8845, 0.8725, 0.4084)  1 Ag 2.72, 1 Sn 2.78
Se (0.5354, 0.1169, 0.0075)  1 Sn 2.57, 1 Ag 2.62


First-principles (GGA-PBE) data for crystalline Tb2ErIn3AgPd2 at its relaxed geometry, as listed in OQMD via LeMat-Bulk.

Summary:
- size of the total moment (μB per cell) = 0.0
- E_tot (eV per atom) = -4.604

a = 3.7865 Å, b = 7.8293 Å, c = 7.8293 Å
α = 119.93°, β = 90.00°, γ = 90.00°
Last column: nearest neighbours and their distance in Å.
Fractional coordinates of all 9 atoms:
Tb (0.0000, 0.2045, 0.7955)  4 Pd 3.04, 6 In 3.16-3.40, 1 Ag 3.20
Tb (0.0000, 0.7955, 0.2045)  4 Pd 3.04, 6 In 3.16-3.40, 1 Ag 3.20
Er (0.0000, 0.6135, 0.6135)  4 Pd 3.02, 2 In 3.15, 1 Ag 3.20
In (0.5000, 0.2056, 0.4735)  2 Ag 2.83, 2 Pd 2.89-2.93, 2 Tb 3.16
In (0.5000, 0.4735, 0.2056)  2 Ag 2.83, 2 Pd 2.89-2.93, 2 Tb 3.16
In (0.5000, 0.9352, 0.9352)  2 Ag 2.84, 2 Pd 2.88, 2 Er 3.15
Ag (0.0000, 0.2052, 0.2052)  6 In 2.83-2.84
Pd (0.5000, 0.5388, 0.8689)  3 In 2.88-2.93, 2 Er 3.02, 4 Tb 3.04
Pd (0.5000, 0.8689, 0.5388)  3 In 2.88-2.93, 2 Er 3.02, 4 Tb 3.04


First-principles (GGA-PBE) data for crystalline KScPdSe3 at its relaxed geometry, as listed in OQMD via LeMat-Bulk.

Summary:
- size of the total moment (μB per cell) = 0.0
- E above lowest polymorph (kJ/mol of atoms) = 0.2

a = 14.8431 Å, b = 3.9853 Å, c = 10.5751 Å
α = 90.00°, β = 90.00°, γ = 90.00°
Last column: nearest neighbours and their distance in Å.
Fractional coordinates of all 24 atoms:
K (0.2339, 0.2500, 0.0470)  7 Se 3.25-3.60
K (0.2661, 0.7500, 0.5470)  7 Se 3.25-3.60
K (0.7339, 0.2500, 0.4530)  7 Se 3.25-3.60
K (0.7661, 0.7500, 0.9530)  7 Se 3.25-3.60
Sc (0.0223, 0.2500, 0.3464)  6 Se 2.67-2.79
Sc (0.4777, 0.7500, 0.8464)  6 Se 2.67-2.79
Sc (0.5223, 0.2500, 0.1536)  6 Se 2.67-2.79
Sc (0.9777, 0.7500, 0.6536)  6 Se 2.67-2.79
Pd (0.0075, 0.7500, 0.0909)  4 Se 2.48-2.63
Pd (0.4925, 0.2500, 0.5909)  4 Se 2.48-2.63
Pd (0.5075, 0.7500, 0.4091)  4 Se 2.48-2.63
Pd (0.9925, 0.2500, 0.9091)  4 Se 2.48-2.63
Se (0.0872, 0.7500, 0.8684)  3 Pd 2.48-2.63
Se (0.0945, 0.2500, 0.5777)  3 Sc 2.67-2.76
Se (0.1327, 0.7500, 0.2630)  1 Pd 2.60, 2 Sc 2.73
Se (0.3673, 0.2500, 0.7630)  1 Pd 2.60, 2 Sc 2.73
Se (0.4055, 0.7500, 0.0777)  3 Sc 2.67-2.76
Se (0.4128, 0.2500, 0.3684)  3 Pd 2.48-2.63
Se (0.5872, 0.7500, 0.6316)  3 Pd 2.48-2.63
Se (0.5945, 0.2500, 0.9223)  3 Sc 2.67-2.76
Se (0.6327, 0.7500, 0.2370)  1 Pd 2.60, 2 Sc 2.73
Se (0.8673, 0.2500, 0.7370)  1 Pd 2.60, 2 Sc 2.73
Se (0.9055, 0.7500, 0.4223)  3 Sc 2.67-2.76
Se (0.9128, 0.2500, 0.1316)  3 Pd 2.48-2.63


First-principles (GGA-PBE) data for crystalline PuAlTl at its relaxed geometry, as listed in OQMD via LeMat-Bulk.

Summary:
- size of the total moment (μB per cell) = 5.9
- E_tot (eV per atom) = -6.681

a = 4.8276 Å, b = 4.8276 Å, c = 4.8276 Å
α = 60.00°, β = 60.00°, γ = 60.00°
Last column: nearest neighbours and their distance in Å.
Fractional coordinates of all 3 atoms:
Pu (0.0000, 0.0000, 0.0000)  4 Al 2.96
Al (0.2500, 0.2500, 0.2500)  4 Tl 2.96, 4 Pu 2.96
Tl (0.5000, 0.5000, 0.5000)  4 Al 2.96


First-principles (GGA-PBE) data for crystalline SmGdSc2Bi2 at its relaxed geometry, as listed in OQMD via LeMat-Bulk.

Summary:
- size of the total moment (μB per cell) = 1.2
- E_tot (eV per atom) = -5.660

a = 8.9408 Å, b = 8.9408 Å, c = 8.9408 Å
α = 151.21°, β = 151.21°, γ = 41.16°
Last column: nearest neighbours and their distance in Å.
Fractional coordinates of all 6 atoms:
Sm (0.0000, 0.0000, 0.0000)  5 Bi 3.24
Gd (0.3517, 0.3517, 0.0000)  5 Bi 3.23-3.25
Sc (0.1764, 0.6764, 0.5000)  4 Bi 3.11-3.12, 4 Sc 3.14
Sc (0.6764, 0.1764, 0.5000)  4 Bi 3.11-3.12, 4 Sc 3.14
Bi (0.5460, 0.5460, 0.0000)  4 Sc 3.12, 4 Sm 3.24, 1 Gd 3.25
Bi (0.8063, 0.8063, 0.0000)  4 Sc 3.11, 4 Gd 3.23, 1 Sm 3.24


First-principles (GGA-PBE) data for crystalline TmNiAu at its relaxed geometry, as listed in OQMD via LeMat-Bulk.

Summary:
- size of the total moment (μB per cell) = 0.0
- E_form (eV per atom) = -0.494

a = 4.3899 Å, b = 4.3899 Å, c = 4.3899 Å
α = 60.00°, β = 60.00°, γ = 60.00°
Last column: nearest neighbours and their distance in Å.
Fractional coordinates of all 3 atoms:
Tm (0.0000, 0.0000, 0.0000)  4 Ni 2.69
Ni (0.7500, 0.7500, 0.7500)  4 Tm 2.69, 4 Au 2.69
Au (0.5000, 0.5000, 0.5000)  4 Ni 2.69


First-principles (GGA-PBE) data for crystalline NiGe2Pb at its relaxed geometry, as listed in OQMD via LeMat-Bulk.

Summary:
- size of the total moment (μB per cell) = 0.0
- E_tot (eV per atom) = -4.242

a = 4.7986 Å, b = 4.7986 Å, c = 4.7986 Å
α = 60.00°, β = 60.00°, γ = 60.00°
Last column: nearest neighbours and their distance in Å.
Fractional coordinates of all 4 atoms:
Ni (0.0000, 0.0000, 0.0000)  4 Ge 2.94, 4 Pb 2.94
Ge (0.5000, 0.5000, 0.5000)  4 Ge 2.94, 4 Pb 2.94
Ge (0.7500, 0.7500, 0.7500)  4 Ge 2.94, 4 Ni 2.94
Pb (0.2500, 0.2500, 0.2500)  4 Ge 2.94, 4 Ni 2.94


First-principles (GGA-PBE) data for crystalline GdB2 at its relaxed geometry, as listed in OQMD via LeMat-Bulk.

Summary:
- size of the total moment (μB per cell) = 0.0
- E above lowest polymorph (kJ/mol of atoms) = 99.9

a = 4.6767 Å, b = 4.6767 Å, c = 4.6767 Å
α = 60.00°, β = 60.00°, γ = 60.00°
Last column: nearest neighbours and their distance in Å.
Fractional coordinates of all 6 atoms:
Gd (0.1250, 0.1250, 0.1250)  12 B 2.74, 4 Gd 2.86
Gd (0.8750, 0.8750, 0.8750)  12 B 2.74, 4 Gd 2.86
B (0.0000, 0.5000, 0.5000)  6 B 2.34
B (0.5000, 0.0000, 0.5000)  6 B 2.34
B (0.5000, 0.5000, 0.0000)  6 B 2.34
B (0.5000, 0.5000, 0.5000)  6 B 2.34


First-principles (GGA-PBE) data for crystalline Li4Au3S4 at its relaxed geometry, as listed in OQMD via LeMat-Bulk.

Summary:
- E_tot (eV per atom) = -3.635

a = 8.1377 Å, b = 8.1377 Å, c = 4.5245 Å
α = 91.92°, β = 91.92°, γ = 134.51°
Last column: nearest neighbours and their distance in Å.
Fractional coordinates of all 11 atoms:
Li (0.0368, 0.2402, 0.2409)  3 S 2.35-2.41, 1 Au 2.58
Li (0.2402, 0.0368, 0.2409)  3 S 2.35-2.41, 1 Au 2.58
Li (0.7598, 0.9632, 0.7591)  3 S 2.35-2.41, 1 Au 2.58
Li (0.9632, 0.7598, 0.7591)  3 S 2.35-2.41, 1 Au 2.58
Au (0.0000, 0.5000, 0.5000)  2 S 2.38, 2 Li 2.58
Au (0.5000, 0.0000, 0.5000)  2 S 2.38, 2 Li 2.58
Au (0.5000, 0.5000, 0.0000)  4 S 2.51
S (0.1329, 0.3545, 0.7509)  3 Li 2.35-2.41, 2 Au 2.38-2.51
S (0.3545, 0.1329, 0.7509)  3 Li 2.35-2.41, 2 Au 2.38-2.51
S (0.6455, 0.8671, 0.2491)  3 Li 2.35-2.41, 2 Au 2.38-2.51
S (0.8671, 0.6455, 0.2491)  3 Li 2.35-2.41, 2 Au 2.38-2.51


First-principles (GGA-PBE) data for crystalline PrAlPt at its relaxed geometry, as listed in OQMD via LeMat-Bulk.

Summary:
- size of the total moment (μB per cell) = 0.0
- E_tot (eV per atom) = -5.896

a = 7.2404 Å, b = 4.5223 Å, c = 7.8584 Å
α = 90.00°, β = 90.00°, γ = 90.00°
Last column: nearest neighbours and their distance in Å.
Fractional coordinates of all 12 atoms:
Pr (0.0292, 0.2500, 0.1820)  5 Pt 2.96-3.26, 3 Al 3.15-3.26
Pr (0.4708, 0.7500, 0.6820)  5 Pt 2.96-3.26, 3 Al 3.15-3.26
Pr (0.5292, 0.2500, 0.3180)  5 Pt 2.96-3.26, 3 Al 3.15-3.26
Pr (0.9708, 0.7500, 0.8180)  5 Pt 2.96-3.26, 3 Al 3.15-3.26
Al (0.1467, 0.2500, 0.5676)  4 Pt 2.63-2.72
Al (0.3533, 0.7500, 0.0676)  4 Pt 2.63-2.72
Al (0.6467, 0.2500, 0.9324)  4 Pt 2.63-2.72
Al (0.8533, 0.7500, 0.4324)  4 Pt 2.63-2.72
Pt (0.2138, 0.7500, 0.3893)  4 Al 2.63-2.72
Pt (0.2862, 0.2500, 0.8893)  4 Al 2.63-2.72
Pt (0.7138, 0.7500, 0.1107)  4 Al 2.63-2.72
Pt (0.7862, 0.2500, 0.6107)  4 Al 2.63-2.72


What did the fourth record say?
First-principles (GGA-PBE) data for crystalline PuAlTl at its relaxed geometry, as listed in OQMD via LeMat-Bulk.

Summary:
- size of the total moment (μB per cell) = 5.9
- E_tot (eV per atom) = -6.681

a = 4.8276 Å, b = 4.8276 Å, c = 4.8276 Å
α = 60.00°, β = 60.00°, γ = 60.00°
Last column: nearest neighbours and their distance in Å.
Fractional coordinates of all 3 atoms:
Pu (0.0000, 0.0000, 0.0000)  4 Al 2.96
Al (0.2500, 0.2500, 0.2500)  4 Tl 2.96, 4 Pu 2.96
Tl (0.5000, 0.5000, 0.5000)  4 Al 2.96